# 1
8
Lattice="4.2513 0.0000 0.0000 0.0000 7.3851 0.1348 0.0000 -2.5736 6.9314" Properties=species:S:1:pos:R:3 comment="La2PrPuSe4, optimized geometry, DFT PBE-GGA" space_group="P2/m, No. 10" total_energy_ev_per_atom=-7.213 dos_ef_per_ev_cell=11.13 pbc="T T T"
La 0.0000 2.4058 3.5331
La 2.1257 -1.2868 3.4657
Pr 0.0000 0.0000 0.0000
Se 0.0000 4.8619 1.7704
Se 2.1257 3.5738 5.3366
Se 2.1257 1.2378 1.7296
Se 0.0000 -0.0504 5.2958
Pu 2.1257 3.6925 0.0674

# 2
6
Lattice="-2.9532 1.6295 -1.8849 -0.4412 -1.0123 3.7763 2.6593 6.2114 1.2034" Properties=species:S:1:pos:R:3 comment="CeCO, optimized geometry, DFT PBE-GGA" space_group="C2/m, No. 12" total_energy_ev_per_atom=-8.561 dos_ef_per_ev_cell=6.10 pbc="T T T"
Ce -0.2949 5.2416 1.0331
Ce -0.4402 1.5870 2.0616
O -1.0527 3.0917 0.3619
O 0.3176 3.7369 2.7329
C -2.9919 1.0590 1.6427
C 2.2567 5.7696 1.4521